(1)
CuSi2Ag2 | the Alexandria database | PBE | relaxed; spin magnetization = 0.00 μB/cell; E_form (uncorrected) = 0.18 eV per atom
1.0
6.089 0.000 0.000
0.000 6.089 0.000
0.000 0.000 4.383
Ag Cu Si
4 2 4
Cartesian
1.165 4.209 2.191
4.209 4.924 2.191
4.924 1.879 2.191
1.879 1.165 2.191
3.044 3.044 0.000
0.000 0.000 0.000
5.254 3.878 0.000
2.210 5.254 0.000
0.834 2.210 0.000
3.878 0.834 0.000


(2)
Na2CdSi | the Alexandria database | PBE | relaxed; spin magnetization = 0.00 μB/cell; E_form (uncorrected) = 0.21 eV per atom
1.0
0.000 3.574 3.574
3.574 0.000 3.574
3.574 3.574 0.000
Si Na Cd
1 2 1
Cartesian
0.000 0.000 0.000
1.787 1.787 1.787
5.361 5.361 5.361
3.574 3.574 3.574


(3)
TcPW2 | the Alexandria database | PBE | relaxed; spin magnetization = 0.00 μB/cell; calculated formation energy = -0.089 eV/atom
1.0
-3.013 0.882 -0.505
-0.994 -2.330 1.858
-0.217 2.525 5.708
Tc W P
1 2 1
Cartesian
-2.228 1.035 5.089
-0.932 -2.181 1.748
-1.860 0.484 1.934
-0.803 -0.492 3.932


(4)
Mn2NbHRu | the Alexandria database | PBE | relaxed; spin magnetization = 3.59 μB/cell; polymorph energy (0 for the lowest one) = 0.000 eV/atom
1.0
-0.899 3.633 -0.712
-2.530 -0.067 2.848
2.806 1.188 2.521
Nb Mn Ru H
1 2 1 1
Cartesian
-0.311 2.377 2.328
-0.449 1.817 -0.356
-1.265 -0.034 1.424
1.403 0.594 1.260
0.000 0.000 0.000


(5)
Li2OsCl | the Alexandria database | PBE | relaxed; spin magnetization = 0.55 μB/cell; polymorph energy (0 for the lowest one) = 0.420 eV/atom; E_form (uncorrected) = 0.11 eV per atom
1.0
2.928 0.000 0.000
0.000 2.929 0.000
0.000 0.000 8.007
Cl Li Os
1 2 1
Cartesian
1.464 1.464 7.204
1.464 1.464 1.609
0.000 0.000 7.943
0.000 0.000 3.261


(6)
Ba8Rh3S | the Alexandria database | PBE | relaxed; spin magnetization = 0.46 μB/cell; E_form (uncorrected) = -0.46 eV per atom
1.0
9.200 0.000 0.000
-4.600 6.551 -4.532
0.000 -0.197 9.088
Rh Ba S
3 8 1
Cartesian
-2.300 3.276 -2.266
2.300 3.276 -2.266
4.600 0.000 0.000
2.350 0.000 6.989
6.850 0.000 6.989
0.000 3.150 -0.217
0.000 3.194 4.657
-2.250 6.354 -2.433
4.600 3.161 -0.100
2.250 6.354 -2.433
4.600 3.205 4.773
0.000 0.000 0.000


(7)
LiLaCu2 | the Alexandria database | PBE | relaxed; spin magnetization = 0.00 μB/cell; calculated formation energy = -0.039 eV/atom
1.0
-1.894 -0.088 -3.818
-0.747 -3.668 0.455
-4.941 -0.648 2.466
Li Cu La
1 2 1
Cartesian
-5.749 -3.383 0.550
-2.121 -0.466 -1.317
-5.023 -1.353 2.523
-2.474 -2.008 1.274


(8)
Th2Sc3Ni2 | the Alexandria database | PBE | relaxed; spin magnetization = 0.00 μB/cell; calculated formation energy = -0.282 eV/atom
1.0
3.390 0.000 0.905
1.351 5.576 1.740
-0.396 0.257 8.286
Ni Th Sc
2 2 3
Cartesian
2.869 0.556 2.858
1.476 5.276 8.073
1.133 2.749 2.559
3.213 3.083 8.372
1.695 0.000 0.453
2.137 1.236 5.599
2.208 4.596 5.333